Density functional theory data (meta-GGA SCAN) for CoTc2Au at its PBEsol-relaxed geometry.

a = 2.684 Å, b = 3.762 Å, c = 5.462 Å
α = 90.00°, β = 90.09°, γ = 90.00°
Sites, in units of the cell vectors:
Co 0.000 0.000 0.000
Tc 0.504 0.500 0.226
Tc 0.998 0.000 0.451
Au 0.500 0.500 0.739

Properties
The density of states at the Fermi level comes out at 3.431 states/eV per cell. The formation energy from the elements is 0.20 eV/atom. Its space-group type is Pm. For the calculated density, the calculation gives 13.607 g/cm³.